Arrangement a

A plane-wave DFT calculation with PBE was carried out for CaSc3S after structural relaxation.

Unit cell a=5.168 b=5.168 c=5.168 alpha=90.00 beta=90.00 gamma=90.00
Fractional coordinates of all 5 atoms:
S 0.500 0.500 0.500
Ca 0.000 0.000 0.000
Sc 0.500 0.000 0.000
Sc 0.000 0.000 0.500
Sc 0.000 0.500 0.000

Output
N(E_F): 1.2614 states/eV per atom
SG: Pm-3m, No. 221



Arrangement b

A plane-wave DFT calculation with PBE was carried out for CaSc3S after structural relaxation.

Unit cell a=5.029 b=5.029 c=5.029 alpha=90.00 beta=90.00 gamma=90.00
Fractional coordinates of all 5 atoms:
S 0.000 0.000 0.000
Ca 0.500 0.500 0.500
Sc 0.000 0.000 0.500
Sc 0.500 0.000 0.000
Sc 0.000 0.500 0.000

Output
N(E_F): 1.9098 states/eV per atom
SG: Pm-3m, No. 221



Which structure loses on stability? arrangement a does.



Arrangement a

A plane-wave DFT calculation with PBE was carried out for CaSc2S2 after structural relaxation.

Unit cell a=4.147 b=4.147 c=6.912 alpha=72.54 beta=72.54 gamma=90.00
Fractional coordinates of all 5 atoms:
Sc 0.750 0.250 0.500
S 0.625 0.625 0.750
S 0.375 0.375 0.250
Sc 0.250 0.750 0.500
Ca 0.000 0.000 0.000

Output
N(E_F): 0.8317 states/eV per atom
SG: I4/mmm, No. 139



Arrangement b

A plane-wave DFT calculation with PBE was carried out for CaSc2S2 after structural relaxation.

Unit cell a=7.328 b=7.328 c=3.578 alpha=90.00 beta=90.00 gamma=90.00
Fractional coordinates of all 10 atoms:
Ca 0.500 0.500 0.000
S 0.147 0.353 0.000
S 0.353 0.853 0.000
Sc 0.648 0.852 0.500
S 0.647 0.147 0.000
Sc 0.352 0.148 0.500
S 0.853 0.647 0.000
Ca 0.000 0.000 0.000
Sc 0.852 0.352 0.500
Sc 0.148 0.648 0.500

Output
N(E_F): 1.1944 states/eV per atom
SG: P4/mbm, No. 127



Which structure loses on stability? arrangement a does.



Arrangement a

A plane-wave DFT calculation with PBE was carried out for Ca2SeS after structural relaxation.

Unit cell a=6.511 b=6.511 c=7.819 alpha=65.40 beta=65.40 gamma=90.00
Fractional coordinates of all 8 atoms:
Ca 0.142 0.625 0.250
Ca 0.375 0.392 0.750
Ca 0.608 0.125 0.250
S 0.250 0.750 0.500
Se 0.750 0.250 0.500
S 0.500 0.500 0.000
Ca 0.875 0.858 0.750
Se 0.000 0.000 0.000

Output
N(E_F): 0.0000 states/eV per atom
SG: I-42d, No. 122



Arrangement b

A plane-wave DFT calculation with PBE was carried out for Ca2SeS after structural relaxation.

Unit cell a=5.056 b=5.056 c=5.056 alpha=60.00 beta=60.00 gamma=60.00
Fractional coordinates of all 4 atoms:
Ca 0.750 0.750 0.750
Ca 0.250 0.250 0.250
Se 0.500 0.500 0.500
S 0.000 0.000 0.000

Output
N(E_F): 0.0000 states/eV per atom
SG: Fm-3m, No. 225



Which structure loses on stability? arrangement b does.



Arrangement a

A plane-wave DFT calculation with PBE was carried out for SrCa2SeS after structural relaxation.

Unit cell a=5.082 b=7.704 c=5.082 alpha=90.00 beta=90.00 gamma=90.00
Fractional coordinates of all 5 atoms:
S 0.000 0.000 0.000
Ca 0.000 0.000 0.500
Se 0.000 0.500 0.000
Ca 0.500 0.000 0.000
Sr 0.500 0.500 0.500

Output
N(E_F): 0.0029 states/eV per atom
SG: P4/mmm, No. 123



Arrangement b

A plane-wave DFT calculation with PBE was carried out for SrCa2SeS after structural relaxation.

Unit cell a=6.536 b=5.125 c=6.536 alpha=90.00 beta=90.00 gamma=90.00
Fractional coordinates of all 5 atoms:
S 0.000 0.500 0.000
Ca 0.500 0.000 0.000
Sr 0.000 0.000 0.000
Se 0.500 0.500 0.500
Ca 0.000 0.000 0.500

Output
N(E_F): 0.3914 states/eV per atom
SG: P4/mmm, No. 123



Which structure loses on stability? arrangement b does.



Arrangement a

A plane-wave DFT calculation with PBE was carried out for CaSiS after structural relaxation.

Unit cell a=3.967 b=3.967 c=30.122 alpha=90.00 beta=90.00 gamma=120.00
Fractional coordinates of all 18 atoms:
Ca 0.667 0.333 0.302
Si 0.333 0.667 0.820
Si 0.333 0.667 0.180
Ca 0.333 0.667 0.414
S 0.000 0.000 0.361
Ca 0.333 0.667 0.636
Si 0.667 0.333 0.486
S 0.333 0.667 0.253
Si 0.000 0.000 0.153
S 0.000 0.000 0.586
Ca 0.000 0.000 0.747
S 0.667 0.333 0.920
S 0.333 0.667 0.027
Ca 0.667 0.333 0.080
S 0.667 0.333 0.694
Si 0.000 0.000 0.514
Si 0.667 0.333 0.847
Ca 0.000 0.000 0.969

Output
SG: R3m, No. 160



Arrangement b

A plane-wave DFT calculation with PBE was carried out for CaSiS after structural relaxation.

Unit cell a=3.926 b=3.926 c=31.129 alpha=90.00 beta=90.00 gamma=120.00
Fractional coordinates of all 18 atoms:
Ca 0.000 0.000 0.032
Ca 0.667 0.333 0.366
Ca 0.000 0.000 0.919
Si 0.000 0.000 0.180
Si 0.333 0.667 0.485
Si 0.333 0.667 0.847
S 0.667 0.333 0.972
S 0.000 0.000 0.639
Si 0.000 0.000 0.818
S 0.333 0.667 0.306
S 0.333 0.667 0.415
Ca 0.333 0.667 0.586
Si 0.667 0.333 0.513
S 0.000 0.000 0.748
S 0.667 0.333 0.082
Ca 0.333 0.667 0.699
Ca 0.667 0.333 0.253
Si 0.667 0.333 0.152

Output
SG: R3m, No. 160



Which structure loses on stability? arrangement b does.



Arrangement a

A plane-wave DFT calculation with PBE was carried out for CaSiS after structural relaxation.

Unit cell a=3.947 b=3.947 c=10.165 alpha=90.00 beta=90.00 gamma=120.00
Fractional coordinates of all 6 atoms:
Si 0.333 0.667 0.542
S 0.667 0.333 0.915
Ca 0.333 0.667 0.093
Si 0.667 0.333 0.460
S 0.667 0.333 0.245
Ca 0.000 0.000 0.757

Output
SG: P3m1, No. 156



Arrangement b

A plane-wave DFT calculation with PBE was carried out for CaSiS after structural relaxation.

Unit cell a=3.806 b=3.806 c=9.685 alpha=90.00 beta=90.00 gamma=90.00
Fractional coordinates of all 6 atoms:
S 0.500 0.000 0.349
Si 0.000 0.000 0.000
S 0.000 0.500 0.651
Ca 0.500 0.000 0.650
Ca 0.000 0.500 0.350
Si 0.500 0.500 0.000

Output
N(E_F): 0.3712 states/eV per atom
SG: P4/nmm, No. 129



Which structure loses on stability? arrangement b does.



Arrangement a

A plane-wave DFT calculation with PBE was carried out for Ca2SiS after structural relaxation.

Unit cell a=7.612 b=7.612 c=6.532 alpha=54.36 beta=54.36 gamma=90.00
Fractional coordinates of all 8 atoms:
Ca 0.875 0.903 0.750
S 0.750 0.250 0.500
Si 0.500 0.500 0.000
Ca 0.375 0.347 0.750
Ca 0.653 0.125 0.250
Si 0.250 0.750 0.500
S 0.000 0.000 0.000
Ca 0.097 0.625 0.250

Output
N(E_F): 0.3904 states/eV per atom
SG: I-42d, No. 122



Arrangement b

A plane-wave DFT calculation with PBE was carried out for Ca2SiS after structural relaxation.

Unit cell a=5.077 b=5.077 c=5.077 alpha=60.00 beta=60.00 gamma=60.00
Fractional coordinates of all 4 atoms:
Si 0.000 0.000 0.000
Ca 0.750 0.750 0.750
S 0.500 0.500 0.500
Ca 0.250 0.250 0.250

Output
N(E_F): 1.0251 states/eV per atom
SG: Fm-3m, No. 225



Which structure loses on stability? arrangement b does.



Arrangement a

A plane-wave DFT calculation with PBE was carried out for CaSmS2 after structural relaxation.

Unit cell a=3.931 b=3.931 c=7.342 alpha=74.47 beta=74.47 gamma=60.00
Fractional coordinates of all 4 atoms:
S 0.083 0.083 0.751
S 0.252 0.252 0.244
Ca 0.496 0.496 0.513
Sm 0.670 0.670 0.991

Output
N(E_F): 0.4902 states/eV per atom
SG: R3m, No. 160



Arrangement b

A plane-wave DFT calculation with PBE was carried out for CaSmS2 after structural relaxation.

Unit cell a=3.987 b=3.987 c=7.045 alpha=73.56 beta=73.56 gamma=60.00
Fractional coordinates of all 4 atoms:
S 0.749 0.749 0.752
S 0.251 0.251 0.248
Sm 0.500 0.500 0.500
Ca 0.000 0.000 0.000

Output
N(E_F): 0.3447 states/eV per atom
SG: R-3m, No. 166



Arrangement c

A plane-wave DFT calculation with PBE was carried out for CaSmS2 after structural relaxation.

Unit cell a=3.962 b=3.962 c=13.611 alpha=90.00 beta=90.00 gamma=120.00
Fractional coordinates of all 8 atoms:
Sm 0.000 0.000 0.000
S 0.667 0.333 0.623
S 0.333 0.667 0.123
S 0.667 0.333 0.877
Sm 0.000 0.000 0.500
Ca 0.333 0.667 0.750
Ca 0.667 0.333 0.250
S 0.333 0.667 0.377

Output
N(E_F): 0.2598 states/eV per atom
SG: P6_3/mmc, No. 194



Which structure loses on stability? arrangement a does.



Arrangement a

A plane-wave DFT calculation with PBE was carried out for CaSn2S5 after structural relaxation.

Unit cell a=3.845 b=6.619 c=18.355 alpha=90.00 beta=90.00 gamma=90.00
Fractional coordinates of all 16 atoms:
S 0.500 0.684 0.179
S 0.000 0.176 0.105
S 0.500 0.824 0.605
S 0.500 0.684 0.821
S 0.000 0.176 0.895
Sn 0.500 0.473 0.382
Ca 0.000 0.945 0.500
Sn 0.500 0.473 0.618
Ca 0.500 0.055 0.000
S 0.000 0.720 0.000
S 0.500 0.280 0.500
S 0.000 0.316 0.321
Sn 0.000 0.527 0.118
S 0.500 0.824 0.395
S 0.000 0.316 0.679
Sn 0.000 0.527 0.882

Output
SG: Pmmn, No. 59



Arrangement b

A plane-wave DFT calculation with PBE was carried out for CaSn2S5 after structural relaxation.

Unit cell a=11.844 b=11.844 c=10.206 alpha=88.99 beta=88.99 gamma=25.12
Fractional coordinates of all 24 atoms:
S 0.290 0.290 0.429
S 0.245 0.245 0.132
S 0.632 0.632 0.086
Sn 0.741 0.741 0.157
S 0.500 0.500 0.500
S 0.755 0.755 0.868
Sn 0.553 0.553 0.281
S 0.866 0.866 0.223
Sn 0.259 0.259 0.843
S 0.945 0.945 0.665
Ca 0.158 0.158 0.497
Sn 0.642 0.642 0.832
S 0.470 0.470 0.123
Ca 0.842 0.842 0.503
S 0.325 0.325 0.618
S 0.055 0.055 0.335
S 0.134 0.134 0.777
Sn 0.358 0.358 0.168
Ca 0.000 0.000 0.000
S 0.368 0.368 0.914
S 0.530 0.530 0.877
Sn 0.447 0.447 0.719
S 0.710 0.710 0.571
S 0.675 0.675 0.382

Output
N(E_F): 0.2047 states/eV per atom
SG: C2/m, No. 12



Which structure loses on stability? arrangement b does.



Arrangement a

A plane-wave DFT calculation with PBE was carried out for CaSn2S5 after structural relaxation.

Unit cell a=7.474 b=9.566 c=10.781 alpha=90.00 beta=90.00 gamma=90.00
Fractional coordinates of all 32 atoms:
S 0.500 0.678 0.564
S 0.500 0.822 0.064
Sn 0.000 0.891 0.648
S 0.226 0.000 0.500
S 0.729 0.377 0.711
Sn 0.000 0.391 0.852
Sn 0.737 0.500 0.500
S 0.271 0.623 0.289
Ca 0.500 0.124 0.671
S 0.271 0.377 0.711
S 0.271 0.877 0.789
S 0.729 0.877 0.789
Sn 0.000 0.609 0.148
S 0.000 0.864 0.106
S 0.271 0.123 0.211
S 0.729 0.123 0.211
S 0.000 0.364 0.394
Ca 0.500 0.624 0.829
Sn 0.000 0.109 0.352
Sn 0.263 0.000 0.000
Ca 0.500 0.876 0.329
S 0.729 0.623 0.289
Ca 0.500 0.376 0.171
Sn 0.737 0.000 0.000
S 0.226 0.500 0.000
Sn 0.263 0.500 0.500
S 0.000 0.136 0.894
S 0.774 0.000 0.500
S 0.500 0.178 0.936
S 0.500 0.322 0.436
S 0.000 0.636 0.606
S 0.774 0.500 0.000

Output
SG: Pbam, No. 55



Arrangement b

A plane-wave DFT calculation with PBE was carried out for CaSn2S5 after structural relaxation.

Unit cell a=6.965 b=7.197 c=9.125 alpha=104.35 beta=103.79 gamma=105.93
Fractional coordinates of all 16 atoms:
S 0.381 0.255 0.530
S 0.106 0.911 0.748
Sn 0.000 0.000 0.000
S 0.710 0.645 0.939
S 0.290 0.355 0.061
Ca 0.368 0.675 0.694
S 0.950 0.349 0.617
Sn 0.694 0.329 0.757
S 0.666 0.088 0.899
S 0.050 0.651 0.383
S 0.334 0.912 0.101
Ca 0.632 0.325 0.306
Sn 0.000 0.000 0.500
S 0.619 0.745 0.470
Sn 0.306 0.671 0.243
S 0.894 0.089 0.252

Output
SG: P-1, No. 2



Which structure loses on stability? arrangement b does.